No. 1
# Sr2MgSi4Ir3 | the Alexandria database | PBE | optimized geometry
# D(E_F) (states/eV/f.u.): 4.94
# Symmetry: No. 115
# E_form (uncorrected) (eV/atom): -0.63
data_Sr2MgSi4Ir3
_symmetry_space_group_name_H-M 'P 1'
_symmetry_Int_Tables_number 1
_cell_length_a 4.2611
_cell_length_b 4.2611
_cell_length_c 10.3045
_cell_angle_alpha 90.00
_cell_angle_beta 90.00
_cell_angle_gamma 90.00
loop_
_symmetry_equiv_pos_as_xyz
'x,y,z'
loop_
_atom_site_label
_atom_site_type_symbol
_atom_site_fract_x
_atom_site_fract_y
_atom_site_fract_z
_atom_site_occupancy
Sr1 Sr 0.0000 0.5000 0.2420 1
Sr2 Sr 0.5000 0.0000 0.7580 1
Mg1 Mg 0.0000 0.0000 0.5000 1
Si1 Si 0.0000 0.0000 0.0000 1
Si2 Si 0.0000 0.5000 0.6429 1
Si3 Si 0.5000 0.0000 0.3571 1
Si4 Si 0.5000 0.5000 0.0000 1
Ir1 Ir 0.0000 0.5000 0.8821 1
Ir2 Ir 0.5000 0.0000 0.1179 1
Ir3 Ir 0.5000 0.5000 0.5000 1

No. 2
# Mg2TaSi2Ir5 | the Alexandria database | PBE | optimized geometry
# D(E_F) (states/eV/f.u.): 3.65
# Symmetry: No. 127
# E_form (uncorrected) (eV/atom): -0.56
data_Mg2TaSi2Ir5
_symmetry_space_group_name_H-M 'P 1'
_symmetry_Int_Tables_number 1
_cell_length_a 9.4228
_cell_length_b 9.4228
_cell_length_c 3.5119
_cell_angle_alpha 90.00
_cell_angle_beta 90.00
_cell_angle_gamma 90.00
loop_
_symmetry_equiv_pos_as_xyz
'x,y,z'
loop_
_atom_site_label
_atom_site_type_symbol
_atom_site_fract_x
_atom_site_fract_y
_atom_site_fract_z
_atom_site_occupancy
Mg1 Mg 0.1728 0.3272 0.0000 1
Mg2 Mg 0.3272 0.8272 0.0000 1
Mg3 Mg 0.6728 0.1728 0.0000 1
Mg4 Mg 0.8272 0.6728 0.0000 1
Ta1 Ta 0.0000 0.0000 0.0000 1
Ta2 Ta 0.5000 0.5000 0.0000 1
Si1 Si 0.1253 0.6253 0.0000 1
Si2 Si 0.3747 0.1253 0.0000 1
Si3 Si 0.6253 0.8747 0.0000 1
Si4 Si 0.8747 0.3747 0.0000 1
Ir1 Ir 0.0000 0.5000 0.5000 1
Ir2 Ir 0.0728 0.7939 0.5000 1
Ir3 Ir 0.2061 0.0728 0.5000 1
Ir4 Ir 0.2939 0.5728 0.5000 1
Ir5 Ir 0.4272 0.2939 0.5000 1
Ir6 Ir 0.5000 0.0000 0.5000 1
Ir7 Ir 0.5728 0.7061 0.5000 1
Ir8 Ir 0.7061 0.4272 0.5000 1
Ir9 Ir 0.7939 0.9272 0.5000 1
Ir10 Ir 0.9272 0.2061 0.5000 1

No. 3
# TbMg2Si2Ir | the Alexandria database | PBE | optimized geometry
# D(E_F) (states/eV/f.u.): 4.01
# Symmetry: No. 139
# E_form (uncorrected) (eV/atom): 0.12
data_TbMg2Si2Ir
_symmetry_space_group_name_H-M 'P 1'
_symmetry_Int_Tables_number 1
_cell_length_a 5.0644
_cell_length_b 5.0644
_cell_length_c 10.4742
_cell_angle_alpha 90.00
_cell_angle_beta 90.00
_cell_angle_gamma 90.00
loop_
_symmetry_equiv_pos_as_xyz
'x,y,z'
loop_
_atom_site_label
_atom_site_type_symbol
_atom_site_fract_x
_atom_site_fract_y
_atom_site_fract_z
_atom_site_occupancy
Tb1 Tb 0.0000 0.0000 0.0000 1
Tb2 Tb 0.5000 0.5000 0.5000 1
Mg1 Mg 0.0000 0.5000 0.2500 1
Mg2 Mg 0.0000 0.5000 0.7500 1
Mg3 Mg 0.5000 0.0000 0.2500 1
Mg4 Mg 0.5000 0.0000 0.7500 1
Si1 Si 0.0000 0.0000 0.2843 1
Si2 Si 0.0000 0.0000 0.7157 1
Si3 Si 0.5000 0.5000 0.2157 1
Si4 Si 0.5000 0.5000 0.7843 1
Ir1 Ir 0.0000 0.0000 0.5000 1
Ir2 Ir 0.5000 0.5000 0.0000 1

No. 4
# MgSiTcIr | the Alexandria database | PBE | optimized geometry
# D(E_F) (states/eV/f.u.): 3.09
# Symmetry: No. 216
# E_form (uncorrected) (eV/atom): -0.31
data_MgSiTcIr
_symmetry_space_group_name_H-M 'P 1'
_symmetry_Int_Tables_number 1
_cell_length_a 6.0487
_cell_length_b 6.0487
_cell_length_c 6.0487
_cell_angle_alpha 90.00
_cell_angle_beta 90.00
_cell_angle_gamma 90.00
loop_
_symmetry_equiv_pos_as_xyz
'x,y,z'
loop_
_atom_site_label
_atom_site_type_symbol
_atom_site_fract_x
_atom_site_fract_y
_atom_site_fract_z
_atom_site_occupancy
Mg1 Mg 0.0000 0.0000 0.0000 1
Mg2 Mg 0.0000 0.5000 0.5000 1
Mg3 Mg 0.5000 0.0000 0.5000 1
Mg4 Mg 0.5000 0.5000 0.0000 1
Si1 Si 0.0000 0.0000 0.5000 1
Si2 Si 0.0000 0.5000 0.0000 1
Si3 Si 0.5000 0.0000 0.0000 1
Si4 Si 0.5000 0.5000 0.5000 1
Tc1 Tc 0.2500 0.2500 0.2500 1
Tc2 Tc 0.2500 0.7500 0.7500 1
Tc3 Tc 0.7500 0.2500 0.7500 1
Tc4 Tc 0.7500 0.7500 0.2500 1
Ir1 Ir 0.2500 0.2500 0.7500 1
Ir2 Ir 0.2500 0.7500 0.2500 1
Ir3 Ir 0.7500 0.2500 0.2500 1
Ir4 Ir 0.7500 0.7500 0.7500 1

No. 5
# ThMg2SiIr2 | the Alexandria database | PBE | optimized geometry
# D(E_F) (states/eV/f.u.): 5.10
# Symmetry: No. 139
# E_form (uncorrected) (eV/atom): -0.17
data_ThMg2SiIr2
_symmetry_space_group_name_H-M 'P 1'
_symmetry_Int_Tables_number 1
_cell_length_a 5.1790
_cell_length_b 5.1790
_cell_length_c 9.9544
_cell_angle_alpha 90.00
_cell_angle_beta 90.00
_cell_angle_gamma 90.00
loop_
_symmetry_equiv_pos_as_xyz
'x,y,z'
loop_
_atom_site_label
_atom_site_type_symbol
_atom_site_fract_x
_atom_site_fract_y
_atom_site_fract_z
_atom_site_occupancy
Th1 Th 0.0000 0.0000 0.0000 1
Th2 Th 0.5000 0.5000 0.5000 1
Mg1 Mg 0.0000 0.5000 0.2500 1
Mg2 Mg 0.0000 0.5000 0.7500 1
Mg3 Mg 0.5000 0.0000 0.2500 1
Mg4 Mg 0.5000 0.0000 0.7500 1
Si1 Si 0.0000 0.0000 0.5000 1
Si2 Si 0.5000 0.5000 0.0000 1
Ir1 Ir 0.0000 0.0000 0.2692 1
Ir2 Ir 0.0000 0.0000 0.7308 1
Ir3 Ir 0.5000 0.5000 0.2308 1
Ir4 Ir 0.5000 0.5000 0.7692 1

No. 6
# ThMg2Si2Ir | the Alexandria database | PBE | optimized geometry
# D(E_F) (states/eV/f.u.): 2.97
# Symmetry: No. 139
# E_form (uncorrected) (eV/atom): 0.11
data_ThMg2Si2Ir
_symmetry_space_group_name_H-M 'P 1'
_symmetry_Int_Tables_number 1
_cell_length_a 5.0028
_cell_length_b 5.0028
_cell_length_c 10.6570
_cell_angle_alpha 90.00
_cell_angle_beta 90.00
_cell_angle_gamma 90.00
loop_
_symmetry_equiv_pos_as_xyz
'x,y,z'
loop_
_atom_site_label
_atom_site_type_symbol
_atom_site_fract_x
_atom_site_fract_y
_atom_site_fract_z
_atom_site_occupancy
Th1 Th 0.0000 0.0000 0.0000 1
Th2 Th 0.5000 0.5000 0.5000 1
Mg1 Mg 0.0000 0.5000 0.2500 1
Mg2 Mg 0.0000 0.5000 0.7500 1
Mg3 Mg 0.5000 0.0000 0.2500 1
Mg4 Mg 0.5000 0.0000 0.7500 1
Si1 Si 0.0000 0.0000 0.2867 1
Si2 Si 0.0000 0.0000 0.7133 1
Si3 Si 0.5000 0.5000 0.2133 1
Si4 Si 0.5000 0.5000 0.7867 1
Ir1 Ir 0.0000 0.0000 0.5000 1
Ir2 Ir 0.5000 0.5000 0.0000 1

No. 7
# MgU2Si4Ir3 | the Alexandria database | PBE | optimized geometry
# D(E_F) (states/eV/f.u.): 14.79
# Symmetry: No. 115
# E_form (uncorrected) (eV/atom): -0.61
data_MgU2Si4Ir3
_symmetry_space_group_name_H-M 'P 1'
_symmetry_Int_Tables_number 1
_cell_length_a 4.0985
_cell_length_b 4.0985
_cell_length_c 10.2701
_cell_angle_alpha 90.00
_cell_angle_beta 90.00
_cell_angle_gamma 90.00
loop_
_symmetry_equiv_pos_as_xyz
'x,y,z'
loop_
_atom_site_label
_atom_site_type_symbol
_atom_site_fract_x
_atom_site_fract_y
_atom_site_fract_z
_atom_site_occupancy
Mg1 Mg 0.0000 0.0000 0.0000 1
U1 U 0.0000 0.5000 0.7415 1
U2 U 0.5000 0.0000 0.2585 1
Si1 Si 0.0000 0.0000 0.5000 1
Si2 Si 0.0000 0.5000 0.1456 1
Si3 Si 0.5000 0.0000 0.8544 1
Si4 Si 0.5000 0.5000 0.5000 1
Ir1 Ir 0.0000 0.5000 0.3758 1
Ir2 Ir 0.5000 0.0000 0.6242 1
Ir3 Ir 0.5000 0.5000 0.0000 1

No. 8
# Mg2VSiIr | the Alexandria database | PBE | optimized geometry
# D(E_F) (states/eV/f.u.): 8.23
# Symmetry: No. 123
# E_form (uncorrected) (eV/atom): 0.78
data_Mg2VSiIr
_symmetry_space_group_name_H-M 'P 1'
_symmetry_Int_Tables_number 1
_cell_length_a 4.8076
_cell_length_b 4.8076
_cell_length_c 4.3801
_cell_angle_alpha 90.00
_cell_angle_beta 90.00
_cell_angle_gamma 90.00
loop_
_symmetry_equiv_pos_as_xyz
'x,y,z'
loop_
_atom_site_label
_atom_site_type_symbol
_atom_site_fract_x
_atom_site_fract_y
_atom_site_fract_z
_atom_site_occupancy
Mg1 Mg 0.0000 0.5000 0.0000 1
Mg2 Mg 0.5000 0.0000 0.0000 1
V1 V 0.0000 0.0000 0.5000 1
Si1 Si 0.5000 0.5000 0.0000 1
Ir1 Ir 0.5000 0.5000 0.5000 1

No. 9
# Mg2VSi2Ir5 | the Alexandria database | PBE | optimized geometry
# D(E_F) (states/eV/f.u.): 4.05
# Symmetry: No. 127
# E_form (uncorrected) (eV/atom): -0.48
data_Mg2VSi2Ir5
_symmetry_space_group_name_H-M 'P 1'
_symmetry_Int_Tables_number 1
_cell_length_a 9.3401
_cell_length_b 9.3401
_cell_length_c 3.4528
_cell_angle_alpha 90.00
_cell_angle_beta 90.00
_cell_angle_gamma 90.00
loop_
_symmetry_equiv_pos_as_xyz
'x,y,z'
loop_
_atom_site_label
_atom_site_type_symbol
_atom_site_fract_x
_atom_site_fract_y
_atom_site_fract_z
_atom_site_occupancy
Mg1 Mg 0.1715 0.3285 0.0000 1
Mg2 Mg 0.3285 0.8285 0.0000 1
Mg3 Mg 0.6715 0.1715 0.0000 1
Mg4 Mg 0.8285 0.6715 0.0000 1
V1 V 0.0000 0.0000 0.0000 1
V2 V 0.5000 0.5000 0.0000 1
Si1 Si 0.1284 0.6284 0.0000 1
Si2 Si 0.3716 0.1284 0.0000 1
Si3 Si 0.6284 0.8716 0.0000 1
Si4 Si 0.8716 0.3716 0.0000 1
Ir1 Ir 0.0000 0.5000 0.5000 1
Ir2 Ir 0.0723 0.7984 0.5000 1
Ir3 Ir 0.2016 0.0723 0.5000 1
Ir4 Ir 0.2984 0.5723 0.5000 1
Ir5 Ir 0.4277 0.2984 0.5000 1
Ir6 Ir 0.5000 0.0000 0.5000 1
Ir7 Ir 0.5723 0.7016 0.5000 1
Ir8 Ir 0.7016 0.4277 0.5000 1
Ir9 Ir 0.7984 0.9277 0.5000 1
Ir10 Ir 0.9277 0.2016 0.5000 1

No. 10
# Y2MgSi2Ir5 | the Alexandria database | PBE | optimized geometry
# D(E_F) (states/eV/f.u.): 2.78
# Symmetry: No. 127
# E_form (uncorrected) (eV/atom): -0.82
data_Y2MgSi2Ir5
_symmetry_space_group_name_H-M 'P 1'
_symmetry_Int_Tables_number 1
_cell_length_a 9.8364
_cell_length_b 9.8364
_cell_length_c 3.4717
_cell_angle_alpha 90.00
_cell_angle_beta 90.00
_cell_angle_gamma 90.00
loop_
_symmetry_equiv_pos_as_xyz
'x,y,z'
loop_
_atom_site_label
_atom_site_type_symbol
_atom_site_fract_x
_atom_site_fract_y
_atom_site_fract_z
_atom_site_occupancy
Y1 Y 0.1750 0.3250 0.0000 1
Y2 Y 0.3250 0.8250 0.0000 1
Y3 Y 0.6750 0.1750 0.0000 1
Y4 Y 0.8250 0.6750 0.0000 1
Mg1 Mg 0.0000 0.0000 0.0000 1
Mg2 Mg 0.5000 0.5000 0.0000 1
Si1 Si 0.1248 0.6248 0.0000 1
Si2 Si 0.3752 0.1248 0.0000 1
Si3 Si 0.6248 0.8752 0.0000 1
Si4 Si 0.8752 0.3752 0.0000 1
Ir1 Ir 0.0000 0.5000 0.5000 1
Ir2 Ir 0.0675 0.7856 0.5000 1
Ir3 Ir 0.2144 0.0675 0.5000 1
Ir4 Ir 0.2856 0.5675 0.5000 1
Ir5 Ir 0.4325 0.2856 0.5000 1
Ir6 Ir 0.5000 0.0000 0.5000 1
Ir7 Ir 0.5675 0.7144 0.5000 1
Ir8 Ir 0.7144 0.4325 0.5000 1
Ir9 Ir 0.7856 0.9325 0.5000 1
Ir10 Ir 0.9325 0.2144 0.5000 1

No. 11
# Y2MgSi4Ir3 | the Alexandria database | PBE | optimized geometry
# D(E_F) (states/eV/f.u.): 4.19
# Symmetry: No. 115
# E_form (uncorrected) (eV/atom): -0.88
data_Y2MgSi4Ir3
_symmetry_space_group_name_H-M 'P 1'
_symmetry_Int_Tables_number 1
_cell_length_a 4.1321
_cell_length_b 4.1321
_cell_length_c 10.2462
_cell_angle_alpha 90.00
_cell_angle_beta 90.00
_cell_angle_gamma 90.00
loop_
_symmetry_equiv_pos_as_xyz
'x,y,z'
loop_
_atom_site_label
_atom_site_type_symbol
_atom_site_fract_x
_atom_site_fract_y
_atom_site_fract_z
_atom_site_occupancy
Y1 Y 0.0000 0.5000 0.2384 1
Y2 Y 0.5000 0.0000 0.7616 1
Mg1 Mg 0.0000 0.0000 0.5000 1
Si1 Si 0.0000 0.0000 0.0000 1
Si2 Si 0.0000 0.5000 0.6469 1
Si3 Si 0.5000 0.0000 0.3531 1
Si4 Si 0.5000 0.5000 0.0000 1
Ir1 Ir 0.0000 0.5000 0.8779 1
Ir2 Ir 0.5000 0.0000 0.1221 1
Ir3 Ir 0.5000 0.5000 0.5000 1

No. 12
# Y2MgSi3Ir4 | the Alexandria database | PBE | optimized geometry
# D(E_F) (states/eV/f.u.): 6.68
# Symmetry: No. 115
# E_form (uncorrected) (eV/atom): -0.94
data_Y2MgSi3Ir4
_symmetry_space_group_name_H-M 'P 1'
_symmetry_Int_Tables_number 1
_cell_length_a 4.0973
_cell_length_b 4.0973
_cell_length_c 10.3507
_cell_angle_alpha 90.00
_cell_angle_beta 90.00
_cell_angle_gamma 90.00
loop_
_symmetry_equiv_pos_as_xyz
'x,y,z'
loop_
_atom_site_label
_atom_site_type_symbol
_atom_site_fract_x
_atom_site_fract_y
_atom_site_fract_z
_atom_site_occupancy
Y1 Y 0.0000 0.5000 0.2441 1
Y2 Y 0.5000 0.0000 0.7559 1
Mg1 Mg 0.0000 0.0000 0.5000 1
Si1 Si 0.0000 0.5000 0.8744 1
Si2 Si 0.5000 0.0000 0.1256 1
Si3 Si 0.5000 0.5000 0.5000 1
Ir1 Ir 0.0000 0.0000 0.0000 1
Ir2 Ir 0.0000 0.5000 0.6459 1
Ir3 Ir 0.5000 0.0000 0.3541 1
Ir4 Ir 0.5000 0.5000 0.0000 1